1.
# ScBrCl2 (PBE, optimized geometry)
# Uncorrected formation energy (meV per atom): -805
# ΔE to the lowest computed polymorph (kJ/mol of atoms): 108.89
# Total DFT energy (no corrections) (eV/atom): -3.73
# Symmetry: P4/mmm
data_ScBrCl2
_space_group_name_H-M_alt 'P 1'
_space_group_IT_number 1
_cell_length_a 4.3915
_cell_length_b 4.3918
_cell_length_c 4.4802
_cell_angle_alpha 90.00
_cell_angle_beta 90.00
_cell_angle_gamma 90.00
loop_
_space_group_symop_operation_xyz
'x,y,z'
loop_
_atom_site_label
_atom_site_fract_x
_atom_site_fract_y
_atom_site_fract_z
_atom_site_occupancy
Cl1 0.0000 0.0000 0.0000 1
Cl2 0.5000 0.5000 0.0000 1
Sc1 0.5000 0.0000 0.5000 1
Br1 0.0000 0.5000 0.5000 1



2.
# ScBr2Cl (PBE, optimized geometry)
# Uncorrected formation energy (meV per atom): -960
# ΔE to the lowest computed polymorph (kJ/mol of atoms): 81.29
# Total DFT energy (no corrections) (eV/atom): -3.84
# Symmetry: Fm-3m
data_ScBr2Cl
_space_group_name_H-M_alt 'P 1'
_space_group_IT_number 1
_cell_length_a 4.9896
_cell_length_b 4.9896
_cell_length_c 4.9896
_cell_angle_alpha 60.00
_cell_angle_beta 60.00
_cell_angle_gamma 60.00
loop_
_space_group_symop_operation_xyz
'x,y,z'
loop_
_atom_site_label
_atom_site_fract_x
_atom_site_fract_y
_atom_site_fract_z
_atom_site_occupancy
Br1 0.7500 0.7500 0.7500 1
Br2 0.2500 0.2500 0.2500 1
Sc1 0.5000 0.5000 0.5000 1
Cl1 0.0000 0.0000 0.0000 1



3.
# ScBrCl2 (PBE, optimized geometry)
# Uncorrected formation energy (meV per atom): -1905
# ΔE to the lowest computed polymorph (kJ/mol of atoms): 2.76
# Total DFT energy (no corrections) (eV/atom): -4.83
# Symmetry: Imm2
data_ScBrCl2
_space_group_name_H-M_alt 'P 1'
_space_group_IT_number 1
_cell_length_a 3.4039
_cell_length_b 6.8475
_cell_length_c 6.8492
_cell_angle_alpha 61.98
_cell_angle_beta 75.57
_cell_angle_gamma 75.62
loop_
_space_group_symop_operation_xyz
'x,y,z'
loop_
_atom_site_label
_atom_site_fract_x
_atom_site_fract_y
_atom_site_fract_z
_atom_site_occupancy
Sc1 0.7500 0.8669 0.6331 1
Cl1 0.3948 0.5923 0.6184 1
Br1 0.2504 0.1591 0.3409 1
Cl2 0.1048 0.8817 0.9077 1



4.
# ScBrCl2 (PBE, optimized geometry)
# Uncorrected formation energy (meV per atom): -1251
# ΔE to the lowest computed polymorph (kJ/mol of atoms): 65.87
# Total DFT energy (no corrections) (eV/atom): -4.17
# Symmetry: P4/mmm
data_ScBrCl2
_space_group_name_H-M_alt 'P 1'
_space_group_IT_number 1
_cell_length_a 3.1818
_cell_length_b 3.1818
_cell_length_c 9.6362
_cell_angle_alpha 90.00
_cell_angle_beta 90.00
_cell_angle_gamma 90.00
loop_
_space_group_symop_operation_xyz
'x,y,z'
loop_
_atom_site_label
_atom_site_fract_x
_atom_site_fract_y
_atom_site_fract_z
_atom_site_occupancy
Br1 0.5000 0.5000 0.7500 1
Cl1 0.0000 0.0000 0.0929 1
Cl2 0.0000 0.0000 0.4071 1
Sc1 0.5000 0.5000 0.2500 1



5.
# Sc3BrCl7 (PBE, optimized geometry)
# Uncorrected formation energy (meV per atom): -1995
# Total DFT energy (no corrections) (eV/atom): -5.05
# Symmetry: Cm
data_Sc3BrCl7
_space_group_name_H-M_alt 'P 1'
_space_group_IT_number 1
_cell_length_a 7.4643
_cell_length_b 7.4732
_cell_length_c 7.6339
_cell_angle_alpha 74.07
_cell_angle_beta 60.73
_cell_angle_gamma 60.04
loop_
_space_group_symop_operation_xyz
'x,y,z'
loop_
_atom_site_label
_atom_site_fract_x
_atom_site_fract_y
_atom_site_fract_z
_atom_site_occupancy
Sc1 0.0725 0.7540 0.6035 1
Sc2 0.5699 0.7540 0.6035 1
Cl1 0.8460 0.4374 0.3972 1
Cl2 0.3466 0.9291 0.3777 1
Cl3 0.8230 0.0694 0.8103 1
Cl4 0.2964 0.5962 0.8110 1
Sc3 0.0730 0.2511 0.6029 1
Cl5 0.2973 0.0694 0.8103 1
Cl6 0.8468 0.9094 0.3971 1
Cl7 0.3194 0.4374 0.3972 1
Br1 0.7834 0.5752 0.8579 1



6.
# ScBr2Cl (PBE, optimized geometry)
# Uncorrected formation energy (meV per atom): -1779
# ΔE to the lowest computed polymorph (kJ/mol of atoms): 2.20
# Total DFT energy (no corrections) (eV/atom): -4.66
# Symmetry: Amm2
data_ScBr2Cl
_space_group_name_H-M_alt 'P 1'
_space_group_IT_number 1
_cell_length_a 3.7762
_cell_length_b 7.2367
_cell_length_c 7.2364
_cell_angle_alpha 43.15
_cell_angle_beta 90.00
_cell_angle_gamma 90.00
loop_
_space_group_symop_operation_xyz
'x,y,z'
loop_
_atom_site_label
_atom_site_fract_x
_atom_site_fract_y
_atom_site_fract_z
_atom_site_occupancy
Cl1 0.0000 0.6242 0.6241 1
Sc1 0.5000 0.7472 0.7473 1
Br1 0.0000 0.8872 0.8872 1
Br2 0.5000 0.2414 0.2415 1



7.
# ScBr2Cl (PBE, optimized geometry)
# Uncorrected formation energy (meV per atom): -884
# ΔE to the lowest computed polymorph (kJ/mol of atoms): 88.55
# Total DFT energy (no corrections) (eV/atom): -3.77
# Symmetry: I-4m2
data_ScBr2Cl
_space_group_name_H-M_alt 'P 1'
_space_group_IT_number 1
_cell_length_a 5.2353
_cell_length_b 5.2353
_cell_length_c 5.2353
_cell_angle_alpha 126.89
_cell_angle_beta 126.89
_cell_angle_gamma 78.43
loop_
_space_group_symop_operation_xyz
'x,y,z'
loop_
_atom_site_label
_atom_site_fract_x
_atom_site_fract_y
_atom_site_fract_z
_atom_site_occupancy
Br1 0.2500 0.7500 0.5000 1
Br2 0.0000 0.0000 0.0000 1
Sc1 0.7500 0.2500 0.5000 1
Cl1 0.5000 0.5000 0.0000 1



8.
# ScBrCl2 (PBE, optimized geometry)
# Uncorrected formation energy (meV per atom): -1317
# ΔE to the lowest computed polymorph (kJ/mol of atoms): 59.44
# Total DFT energy (no corrections) (eV/atom): -4.24
# Symmetry: R-3m
data_ScBrCl2
_space_group_name_H-M_alt 'P 1'
_space_group_IT_number 1
_cell_length_a 6.7379
_cell_length_b 6.7379
_cell_length_c 6.7379
_cell_angle_alpha 36.86
_cell_angle_beta 36.86
_cell_angle_gamma 36.86
loop_
_space_group_symop_operation_xyz
'x,y,z'
loop_
_atom_site_label
_atom_site_fract_x
_atom_site_fract_y
_atom_site_fract_z
_atom_site_occupancy
Br1 0.7500 0.7500 0.7500 1
Cl1 0.9662 0.9662 0.9662 1
Cl2 0.5338 0.5338 0.5338 1
Sc1 0.2500 0.2500 0.2500 1